(1)
Below is Nd2ScSn4Pd3 after structural relaxation, with properties calculated at the PBE level.

Summary:
The calculation puts the magnetic moment at 0.00 μB per formula unit. As for the formation energy: -722.4 kJ/mol of formula units. The crystal system is tetragonal. As for the electronic total energy: -5.494 eV per atom.

abc: 4.402 4.402 12.116
angles: 90.00 90.00 90.00
Fractional coordinates of all 10 atoms:
1 Pd 0.500 0.000 0.867
2 Pd 0.000 0.500 0.133
3 Pd 0.000 0.000 0.500
4 Sc 0.500 0.500 0.500
5 Nd 0.500 0.000 0.241
6 Nd 0.000 0.500 0.759
7 Sn 0.500 0.500 0.000
8 Sn 0.000 0.000 0.000
9 Sn 0.500 0.000 0.650
10 Sn 0.000 0.500 0.350


(2)
Below is Ho5GaIr2 after structural relaxation, with properties calculated at the PBE level.

Summary:
The calculation puts the magnetic moment at 0.00 μB per formula unit. As for the formation energy: -541.2 kJ/mol of formula units. The crystal system is tetragonal. As for the electronic total energy: -6.156 eV per atom.

abc: 7.689 7.689 8.524
angles: 116.81 116.81 90.00
Fractional coordinates of all 16 atoms:
1 Ir 0.361 0.861 0.000
2 Ir 0.639 0.139 0.000
3 Ir 0.861 0.639 0.000
4 Ir 0.139 0.361 0.000
5 Ho 0.201 0.023 0.724
6 Ho 0.299 0.799 0.276
7 Ho 0.523 0.701 0.724
8 Ho 0.023 0.523 0.724
9 Ho 0.701 0.201 0.724
10 Ho 0.477 0.299 0.276
11 Ho 0.977 0.477 0.276
12 Ho 0.000 0.000 0.000
13 Ho 0.500 0.500 0.000
14 Ho 0.799 0.977 0.276
15 Ga 0.750 0.750 0.500
16 Ga 0.250 0.250 0.500


(3)
Below is Mg3Cd2Ag3 after structural relaxation, with properties calculated at the PBE level.

Summary:
The calculation puts the magnetic moment at 0.00 μB per formula unit. As for the formation energy: -131.5 kJ/mol of formula units. The crystal system is orthorhombic. As for the electronic total energy: -2.066 eV per atom.

abc: 3.396 4.752 10.059
angles: 103.66 99.72 90.00
Fractional coordinates of all 8 atoms:
1 Ag 0.117 0.117 0.234
2 Ag 0.000 0.500 0.000
3 Ag 0.883 0.883 0.766
4 Mg 0.379 0.379 0.758
5 Mg 0.621 0.621 0.242
6 Mg 0.500 0.000 0.000
7 Cd 0.260 0.760 0.519
8 Cd 0.740 0.240 0.481


(4)
Below is LiOs2Pb after structural relaxation, with properties calculated at the PBE level.

Summary:
The calculation puts the magnetic moment at 0.00 μB per formula unit. As for the formation energy: 279.7 kJ/mol of formula units. The crystal system is orthorhombic. As for the electronic total energy: -6.296 eV per atom.

abc: 3.018 4.470 4.931
angles: 90.00 90.00 90.00
Fractional coordinates of all 4 atoms:
1 Os 0.000 0.000 0.000
2 Os 0.500 0.500 0.000
3 Li 0.000 0.500 0.500
4 Pb 0.500 0.000 0.500